Run P
The following is a DFT calculation (PBE) of a relaxed structure of ScCuPO2.

Mass density: 3.25 g cm⁻³

Lattice parameters (Å, degrees): 3.896 3.896 5.766 90.00 90.00 90.00
Element x y z (fractional)
Sc1 0.000 0.000 0.000
P1 0.000 0.000 0.500
O1 0.000 0.500 0.000
O2 0.500 0.000 0.000
Cu1 0.500 0.500 0.500

=====

Run Q
The following is a DFT calculation (PBE) of a relaxed structure of ScCuPO2.

Mass density: 4.35 g cm⁻³

Lattice parameters (Å, degrees): 3.820 3.820 4.489 90.00 90.00 90.00
Element x y z (fractional)
Sc1 0.500 0.500 0.500
P1 0.000 0.000 0.500
O1 0.000 0.500 0.000
O2 0.500 0.000 0.000
Cu1 0.000 0.000 0.000

=====

Decreasing stability: run P, run Q

=====

Run P
The following is a DFT calculation (PBE) of a relaxed structure of CuP2SeO.

Mass density: 4.70 g cm⁻³

Lattice parameters (Å, degrees): 4.638 4.638 3.619 90.00 90.00 90.00
Element x y z (fractional)
O1 0.000 0.000 0.500
P1 0.000 0.500 0.000
P2 0.500 0.000 0.000
Cu1 0.000 0.000 0.000
Se1 0.500 0.500 0.500

=====

Run Q
The following is a DFT calculation (PBE) of a relaxed structure of CuP2SeO.

Mass density: 4.25 g cm⁻³

Lattice parameters (Å, degrees): 4.882 4.882 3.611 90.00 90.00 90.00
Element x y z (fractional)
O1 0.000 0.000 0.500
P1 0.000 0.500 0.000
P2 0.500 0.000 0.000
Cu1 0.500 0.500 0.500
Se1 0.000 0.000 0.000

=====

Decreasing stability: run P, run Q

=====

Run P
The following is a DFT calculation (PBE) of a relaxed structure of CuSnP2O8.

Mass density: 3.99 g cm⁻³

Lattice parameters (Å, degrees): 6.097 5.026 10.149 85.88 90.00 90.00
Element x y z (fractional)
Cu1 0.250 0.857 0.698
Cu2 0.750 0.143 0.302
Sn1 0.750 0.443 0.789
Sn2 0.250 0.557 0.211
P1 0.250 0.392 0.903
P2 0.750 0.913 0.602
P3 0.250 0.087 0.398
P4 0.750 0.608 0.097
O1 0.750 0.675 0.945
O2 0.250 0.695 0.874
O3 0.044 0.258 0.842
O4 0.456 0.258 0.842
O5 0.942 0.744 0.673
O6 0.558 0.744 0.673
O7 0.750 0.207 0.633
O8 0.250 0.109 0.546
O9 0.750 0.891 0.454
O10 0.250 0.793 0.367
O11 0.058 0.256 0.327
O12 0.442 0.256 0.327
O13 0.544 0.742 0.158
O14 0.956 0.742 0.158
O15 0.750 0.305 0.126
O16 0.250 0.325 0.055

=====

Run Q
The following is a DFT calculation (PBE) of a relaxed structure of CuSnP2O8.

Mass density: 4.38 g cm⁻³

Lattice parameters (Å, degrees): 4.740 4.740 7.756 72.21 72.21 60.00
Element x y z (fractional)
Cu1 0.000 0.000 0.000
Sn1 0.500 0.500 0.500
P1 0.258 0.258 0.226
P2 0.742 0.742 0.774
O1 0.186 0.186 0.441
O2 0.600 0.262 0.166
O3 0.814 0.814 0.559
O4 0.972 0.600 0.166
O5 0.028 0.400 0.834
O6 0.262 0.972 0.166
O7 0.738 0.028 0.834
O8 0.400 0.738 0.834

=====

Decreasing stability: run P, run Q

=====

Run P
The following is a DFT calculation (PBE) of a relaxed structure of TaCuP2O.

Mass density: 5.75 g cm⁻³

Lattice parameters (Å, degrees): 4.934 4.934 3.823 90.00 90.00 90.00
Element x y z (fractional)
P1 0.000 0.500 0.000
P2 0.500 0.000 0.000
O1 0.000 0.000 0.500
Cu1 0.500 0.500 0.500
Ta1 0.000 0.000 0.000

=====

Run Q
The following is a DFT calculation (PBE) of a relaxed structure of TaCuP2O.

Mass density: 7.33 g cm⁻³

Lattice parameters (Å, degrees): 4.571 4.571 3.498 90.00 90.00 90.00
Element x y z (fractional)
P1 0.000 0.500 0.000
P2 0.500 0.000 0.000
O1 0.000 0.000 0.500
Cu1 0.000 0.000 0.000
Ta1 0.500 0.500 0.500

=====

Decreasing stability: run P, run Q